No. 1
Compound: MnCu2Te2
Source: the Alexandria database
Functional: PBE
Structure: optimized geometry

abc: 12.0804 12.0804 12.0804
angles: 90.00 90.00 90.00
Space group F-43m (No. 216)
Inequivalent atoms, fractional coordinates:
Mn 0.1248 0.1248 0.1248 x16
Cu 0.0000 0.0000 0.2531 x24
Cu 0.0000 0.0000 0.5000 x4
Cu 0.2500 0.2500 0.7500 x4
Te 0.1272 0.1272 0.8728 x16
Te 0.1304 0.1304 0.3696 x16

Output
Its raw formation energy is -62 meV per atom. The total energy is -0.3521 Ry per atom. For the volume, the calculation gives 22.0 A^3/atom.

No. 2
Compound: Hf2Ni9As
Source: the Alexandria database
Functional: PBE
Structure: optimized geometry

abc: 3.6903 3.6903 11.0060
angles: 90.00 90.00 90.00
Space group P4/mmm (No. 123)
Inequivalent atoms, fractional coordinates:
Hf 0.0000 0.0000 0.1700 x2
Ni 0.0000 0.5000 0.0000 x2
Ni 0.0000 0.5000 0.3422 x4
Ni 0.5000 0.5000 0.1720 x2
Ni 0.5000 0.5000 0.5000 x1
As 0.0000 0.0000 0.5000 x1

Output
The total energy is -0.4983 Ry per atom. For the volume, the calculation gives 12.5 A^3/atom. For the formation energy, the calculation gives -0.3974 eV per atom.

No. 3
Compound: Li2MgAl2
Source: the Alexandria database
Functional: PBE
Structure: optimized geometry

abc: 9.9847 4.7488 7.8443
angles: 90.00 110.30 90.00
Space group C2/m (No. 12)
Inequivalent atoms, fractional coordinates:
Li 0.0598 0.0000 0.3543 x4
Li 0.1431 0.0000 0.0558 x4
Mg 0.2435 0.0000 0.7596 x4
Al 0.0501 0.5000 0.8472 x4
Al 0.1432 0.5000 0.5421 x4

Output
Its energy relative to the lowest polymorph listed for this composition is 21.5 meV/atom. The total energy is -0.1950 Ry per atom. For the volume, the calculation gives 17.4 A^3/atom. For the formation energy, the calculation gives -0.0712 eV per atom.